1.
VASP calculation (PBE) on crystalline Sr3GeSb2Pd9 at its relaxed geometry.

Computed properties:
Formation energy from raw total energies = -7.6 eV/f.u.

POSCAR file:
```
Sr3GeSb2Pd9
1.0
6.854 0.000 0.000
-3.427 5.936 0.000
0.000 0.000 8.905
Sr Pd Sb Ge
3 9 2 1
Direct
0.667 0.333 0.314
0.000 0.000 0.000
0.333 0.667 0.686
0.134 0.866 0.293
0.866 0.732 0.707
0.500 0.500 0.000
0.866 0.134 0.707
0.732 0.866 0.293
0.500 0.000 0.000
0.134 0.268 0.293
0.268 0.134 0.707
0.000 0.500 0.000
0.333 0.667 0.195
0.667 0.333 0.805
0.000 0.000 0.500
```



2.
VASP calculation (PBE) on crystalline Sr2GeSbPd at its relaxed geometry.

Computed properties:
Formation energy from raw total energies = -0.3 eV/f.u.

POSCAR file:
```
Sr2GeSbPd
1.0
6.215 0.000 0.000
0.000 4.935 0.000
0.000 0.000 6.215
Ge Sb Sr Pd
1 1 2 1
Direct
0.500 0.500 0.500
0.000 0.000 0.000
0.000 0.000 0.500
0.500 0.000 0.000
0.000 0.500 0.000
```